a.
This record from Alexandria via LeMat-Bulk describes crystalline Pm5HoAl2 at its relaxed geometry. The functional is PBE.

Lattice parameters (Å, degrees): 8.3102 8.3102 8.3102 154.73 100.20 85.33
Atoms (fractional coordinates):
Pm 0.0000 0.0000 0.0000
Pm 0.0768 0.3586 0.7182
Pm 0.3595 0.6414 0.7182
Pm 0.6405 0.3586 0.2818
Pm 0.9232 0.6414 0.2818
Ho 0.5000 0.0000 0.5000
Al 0.2779 0.2779 0.0000
Al 0.7221 0.7221 0.0000

- density (g cm⁻³) = 6.62
- space-group type = Immm (71)

***

b.
This record from Alexandria via LeMat-Bulk describes crystalline Pm5HoAl2 at its relaxed geometry. The functional is PBE.

Lattice parameters (Å, degrees): 5.3995 5.3995 19.9673 90.00 90.00 120.00
Atoms (fractional coordinates):
Pm 0.0000 0.0000 0.1556
Pm 0.0000 0.0000 0.3444
Pm 0.0000 0.0000 0.6556
Pm 0.0000 0.0000 0.8444
Pm 0.3333 0.6667 0.0553
Pm 0.3333 0.6667 0.2500
Pm 0.3333 0.6667 0.4447
Pm 0.6667 0.3333 0.5553
Pm 0.6667 0.3333 0.7500
Pm 0.6667 0.3333 0.9447
Ho 0.3333 0.6667 0.7500
Ho 0.6667 0.3333 0.2500
Al 0.3333 0.6667 0.6012
Al 0.3333 0.6667 0.8988
Al 0.6667 0.3333 0.1012
Al 0.6667 0.3333 0.3988

- density (g cm⁻³) = 6.22
- space-group type = P6_3/mmc (194)

***

Pick a: it beats the second-best structure by 33 meV/atom.

***

a.
This record from Alexandria via LeMat-Bulk describes crystalline Pm2Ho2Al at its relaxed geometry. The functional is PBE.

Lattice parameters (Å, degrees): 5.3769 5.3769 11.9487 90.00 90.00 120.00
Atoms (fractional coordinates):
Pm 0.3333 0.6667 0.0929
Pm 0.3333 0.6667 0.4071
Pm 0.6667 0.3333 0.5929
Pm 0.6667 0.3333 0.9071
Ho 0.0000 0.0000 0.0000
Ho 0.0000 0.0000 0.5000
Ho 0.3333 0.6667 0.7500
Ho 0.6667 0.3333 0.2500
Al 0.0000 0.0000 0.2500
Al 0.0000 0.0000 0.7500

- density (g cm⁻³) = 7.18
- space-group type = P6_3/mmc (194)

***

b.
This record from Alexandria via LeMat-Bulk describes crystalline Pm2Ho2Al at its relaxed geometry. The functional is PBE.

Lattice parameters (Å, degrees): 9.2851 9.2851 9.2851 153.39 153.39 37.98
Atoms (fractional coordinates):
Pm 0.2500 0.7500 0.5000
Pm 0.7500 0.2500 0.5000
Ho 0.0855 0.0855 0.0000
Ho 0.9145 0.9145 0.0000
Al 0.5000 0.5000 0.0000

- density (g cm⁻³) = 6.70
- space-group type = I4/mmm (139)

***

Pick a: it beats the second-best structure by 439 meV/atom.

***

a.
This record from Alexandria via LeMat-Bulk describes crystalline PmHo3Al at its relaxed geometry. The functional is PBE.

Lattice parameters (Å, degrees): 9.3043 9.3043 7.0715 96.88 96.88 97.82
Atoms (fractional coordinates):
Pm 0.0725 0.6994 0.8363
Pm 0.3006 0.9275 0.6637
Pm 0.6994 0.0725 0.3363
Pm 0.9275 0.3006 0.1637
Ho 0.0568 0.1749 0.6129
Ho 0.1749 0.0568 0.1129
Ho 0.2230 0.5224 0.4706
Ho 0.2345 0.4254 0.9757
Ho 0.4254 0.2345 0.4757
Ho 0.4776 0.7770 0.0294
Ho 0.5224 0.2230 0.9706
Ho 0.5746 0.7655 0.5243
Ho 0.7655 0.5746 0.0243
Ho 0.7770 0.4776 0.5294
Ho 0.8251 0.9432 0.8871
Ho 0.9432 0.8251 0.3871
Al 0.2329 0.7671 0.2500
Al 0.4914 0.5086 0.7500
Al 0.5086 0.4914 0.2500
Al 0.7671 0.2329 0.7500

- density (g cm⁻³) = 7.43
- space-group type = C2/c (15)

***

b.
This record from Alexandria via LeMat-Bulk describes crystalline PmHo3Al at its relaxed geometry. The functional is PBE.

Lattice parameters (Å, degrees): 6.7196 6.7196 12.4692 94.48 94.48 31.09
Atoms (fractional coordinates):
Pm 0.2243 0.2243 0.2472
Pm 0.7757 0.7757 0.7528
Ho 0.0316 0.0316 0.6950
Ho 0.1414 0.1414 0.9509
Ho 0.3652 0.3652 0.5174
Ho 0.6348 0.6348 0.4826
Ho 0.8586 0.8586 0.0491
Ho 0.9684 0.9684 0.3050
Al 0.4529 0.4529 0.8814
Al 0.5471 0.5471 0.1186

- density (g cm⁻³) = 7.64
- space-group type = C2/m (12)

***

Pick b: it beats the second-best structure by 167 meV/atom.

***

a.
This record from Alexandria via LeMat-Bulk describes crystalline Pm4Ho5Al at its relaxed geometry. The functional is PBE.

Lattice parameters (Å, degrees): 3.5731 3.5731 24.1560 90.00 90.00 90.00
Atoms (fractional coordinates):
Pm 0.0000 0.0000 0.1051
Pm 0.0000 0.0000 0.3165
Pm 0.0000 0.0000 0.6835
Pm 0.0000 0.0000 0.8949
Ho 0.5000 0.5000 0.0000
Ho 0.5000 0.5000 0.2108
Ho 0.5000 0.5000 0.4237
Ho 0.5000 0.5000 0.5763
Ho 0.5000 0.5000 0.7892
Al 0.0000 0.0000 0.5000

- density (g cm⁻³) = 7.71
- space-group type = P4/mmm (123)

***

b.
This record from Alexandria via LeMat-Bulk describes crystalline Pm4Ho5Al at its relaxed geometry. The functional is PBE.

Lattice parameters (Å, degrees): 8.0619 8.0619 8.0619 97.16 97.16 138.67
Atoms (fractional coordinates):
Pm 0.0000 0.3107 0.3107
Pm 0.0000 0.6893 0.6893
Pm 0.3107 0.0000 0.3107
Pm 0.6893 0.0000 0.6893
Ho 0.2003 0.2003 0.0000
Ho 0.3262 0.3262 0.6363
Ho 0.3262 0.6899 0.0000
Ho 0.6899 0.3262 0.0000
Ho 0.6899 0.6899 0.3637
Al 0.7156 0.7156 0.0000

- density (g cm⁻³) = 7.34
- space-group type = I4mm (107)

***

Pick a: it beats the second-best structure by 145 meV/atom.

***

a.
This record from Alexandria via LeMat-Bulk describes crystalline PmHoTmAl at its relaxed geometry. The functional is PBE.

Lattice parameters (Å, degrees): 5.3581 5.3581 5.3581 60.00 60.00 60.00
Atoms (fractional coordinates):
Pm 0.0000 0.0000 0.0000
Ho 0.5000 0.5000 0.5000
Tm 0.2500 0.2500 0.2500
Al 0.7500 0.7500 0.7500

- density (g cm⁻³) = 7.72
- space-group type = F-43m (216)

***

b.
This record from Alexandria via LeMat-Bulk describes crystalline PmHoTmAl at its relaxed geometry. The functional is PBE.

Lattice parameters (Å, degrees): 3.5107 3.5107 9.0148 90.00 90.00 90.00
Atoms (fractional coordinates):
Pm 0.0000 0.0000 0.0000
Ho 0.5000 0.5000 0.7074
Tm 0.5000 0.5000 0.2876
Al 0.0000 0.0000 0.4955

- density (g cm⁻³) = 7.56
- space-group type = P4mm (99)

***

Pick b: it beats the second-best structure by 130 meV/atom.

***

a.
This record from Alexandria via LeMat-Bulk describes crystalline PmYHoAl at its relaxed geometry. The functional is PBE.

Lattice parameters (Å, degrees): 5.3933 5.3933 5.3933 60.00 60.00 60.00
Atoms (fractional coordinates):
Pm 0.0000 0.0000 0.0000
Y 0.5000 0.5000 0.5000
Ho 0.7500 0.7500 0.7500
Al 0.2500 0.2500 0.2500

- density (g cm⁻³) = 6.37
- space-group type = F-43m (216)

***

b.
This record from Alexandria via LeMat-Bulk describes crystalline PmYHoAl at its relaxed geometry. The functional is PBE.

Lattice parameters (Å, degrees): 3.5336 3.5336 9.0717 90.00 90.00 90.00
Atoms (fractional coordinates):
Pm 0.0000 0.0000 0.0000
Y 0.5000 0.5000 0.7066
Ho 0.5000 0.5000 0.2871
Al 0.0000 0.0000 0.4957

- density (g cm⁻³) = 6.24
- space-group type = P4mm (99)

***

Pick b: it beats the second-best structure by 139 meV/atom.

***

a.
This record from Alexandria via LeMat-Bulk describes crystalline PrHo2Al at its relaxed geometry. The functional is PBE.

Lattice parameters (Å, degrees): 11.6613 11.6613 11.6613 17.14 17.14 17.14
Atoms (fractional coordinates):
Pr 0.0000 0.0000 0.0000
Ho 0.1014 0.1014 0.1014
Ho 0.8986 0.8986 0.8986
Al 0.5000 0.5000 0.5000

- density (g cm⁻³) = 6.88
- space-group type = R-3m (166)

***

b.
This record from Alexandria via LeMat-Bulk describes crystalline PrHo2Al at its relaxed geometry. The functional is PBE.

Lattice parameters (Å, degrees): 5.3221 6.9349 6.9349 60.06 90.00 90.00
Atoms (fractional coordinates):
Pr 0.0000 0.2346 0.7654
Pr 0.0000 0.7654 0.2346
Ho 0.0000 0.7635 0.7635
Ho 0.5000 0.4138 0.4138
Ho 0.5000 0.4158 0.9409
Ho 0.5000 0.9409 0.4158
Al 0.0000 0.2561 0.2561
Al 0.5000 0.9149 0.9149

- density (g cm⁻³) = 7.45
- space-group type = Amm2 (38)

***

c.
This record from Alexandria via LeMat-Bulk describes crystalline PrHo2Al at its relaxed geometry. The functional is PBE.

Lattice parameters (Å, degrees): 10.7549 10.7549 10.7549 19.24 19.24 19.24
Atoms (fractional coordinates):
Pr 0.0000 0.0000 0.0000
Ho 0.5706 0.5706 0.5706
Ho 0.7623 0.7623 0.7623
Al 0.1661 0.1661 0.1661

- density (g cm⁻³) = 7.00
- space-group type = R3m (160)

***

d.
This record from Alexandria via LeMat-Bulk describes crystalline PrHo2Al at its relaxed geometry. The functional is PBE.

Lattice parameters (Å, degrees): 4.8182 4.8182 4.7945 90.00 90.00 90.00
Atoms (fractional coordinates):
Pr 0.0000 0.0000 0.0000
Ho 0.0000 0.5000 0.5000
Ho 0.5000 0.0000 0.5000
Al 0.5000 0.5000 0.0000

- density (g cm⁻³) = 7.43
- space-group type = P4/mmm (123)

***

Pick b: it beats the second-best structure by 11 meV/atom.

***

a.
This record from Alexandria via LeMat-Bulk describes crystalline PrHo3Al8 at its relaxed geometry. The functional is PBE.

Lattice parameters (Å, degrees): 5.5783 5.5783 9.1741 90.00 90.00 120.00
Atoms (fractional coordinates):
Pr 0.0000 0.0000 0.0000
Ho 0.0000 0.0000 0.3646
Ho 0.6667 0.3333 0.4987
Ho 0.6667 0.3333 0.8622
Al 0.1622 0.3245 0.6789
Al 0.1622 0.8378 0.6789
Al 0.3333 0.6667 0.4340
Al 0.3333 0.6667 0.9301
Al 0.5045 0.0090 0.1865
Al 0.5045 0.4955 0.1865
Al 0.6755 0.8378 0.6789
Al 0.9910 0.4955 0.1865

- density (g cm⁻³) = 5.72
- space-group type = P3m1 (156)

***

b.
This record from Alexandria via LeMat-Bulk describes crystalline PrHo3Al8 at its relaxed geometry. The functional is PBE.

Lattice parameters (Å, degrees): 9.7161 9.7161 9.7161 33.37 33.37 33.37
Atoms (fractional coordinates):
Pr 0.0000 0.0000 0.0000
Ho 0.1253 0.1253 0.1253
Ho 0.5007 0.5007 0.5007
Ho 0.6244 0.6244 0.6244
Al 0.0620 0.0620 0.5605
Al 0.0620 0.5605 0.0620
Al 0.0646 0.5636 0.5636
Al 0.3122 0.3122 0.3122
Al 0.5605 0.0620 0.0620
Al 0.5636 0.0646 0.5636
Al 0.5636 0.5636 0.0646
Al 0.8130 0.8130 0.8130

- density (g cm⁻³) = 5.72
- space-group type = R3m (160)

***

Pick b: it beats the second-best structure by 9 meV/atom.

***

a.
This record from Alexandria via LeMat-Bulk describes crystalline Pr3HoAl8 at its relaxed geometry. The functional is PBE.

Lattice parameters (Å, degrees): 9.8489 9.8489 9.8489 33.45 33.45 33.45
Atoms (fractional coordinates):
Pr 0.0000 0.0000 0.0000
Pr 0.1253 0.1253 0.1253
Pr 0.6250 0.6250 0.6250
Ho 0.5007 0.5007 0.5007
Al 0.0619 0.0619 0.5611
Al 0.0619 0.5611 0.0619
Al 0.0649 0.5633 0.5633
Al 0.3124 0.3124 0.3124
Al 0.5611 0.0619 0.0619
Al 0.5633 0.0649 0.5633
Al 0.5633 0.5633 0.0649
Al 0.8131 0.8131 0.8131

- density (g cm⁻³) = 5.16
- space-group type = R3m (160)

***

b.
This record from Alexandria via LeMat-Bulk describes crystalline Pr3HoAl8 at its relaxed geometry. The functional is PBE.

Lattice parameters (Å, degrees): 5.6636 5.6636 9.3363 90.00 90.00 120.00
Atoms (fractional coordinates):
Pr 0.0000 0.0000 0.0000
Pr 0.0000 0.0000 0.3639
Pr 0.3333 0.6667 0.8627
Ho 0.3333 0.6667 0.4991
Al 0.0092 0.5046 0.1839
Al 0.3250 0.1625 0.6768
Al 0.4954 0.5046 0.1839
Al 0.4954 0.9908 0.1839
Al 0.6667 0.3333 0.4324
Al 0.6667 0.3333 0.9285
Al 0.8375 0.1625 0.6768
Al 0.8375 0.6750 0.6768

- density (g cm⁻³) = 5.14
- space-group type = P3m1 (156)

***

Pick a: it beats the second-best structure by 11 meV/atom.

***

a.
This record from Alexandria via LeMat-Bulk describes crystalline PrHo3Al at its relaxed geometry. The functional is PBE.

Lattice parameters (Å, degrees): 9.6742 9.6742 8.6585 104.30 104.30 21.84
Atoms (fractional coordinates):
Pr 0.1019 0.1019 0.0498
Pr 0.8981 0.8981 0.9502
Ho 0.3012 0.3012 0.1922
Ho 0.3159 0.3159 0.6117
Ho 0.4999 0.4999 0.2891
Ho 0.5001 0.5001 0.7109
Ho 0.6841 0.6841 0.3883
Ho 0.6988 0.6988 0.8078
Al 0.0955 0.0955 0.5578
Al 0.9045 0.9045 0.4422

- density (g cm⁻³) = 7.54
- space-group type = C2/m (12)

***

b.
This record from Alexandria via LeMat-Bulk describes crystalline PrHo3Al at its relaxed geometry. The functional is PBE.

Lattice parameters (Å, degrees): 10.1182 10.1182 6.8435 99.28 99.28 62.14
Atoms (fractional coordinates):
Pr 0.0411 0.9589 0.7500
Pr 0.3562 0.6438 0.2500
Pr 0.6438 0.3562 0.7500
Pr 0.9589 0.0411 0.2500
Ho 0.9999 0.3290 0.0855
Ho 0.0001 0.6710 0.9145
Ho 0.0025 0.6593 0.4098
Ho 0.3073 0.3186 0.9090
Ho 0.3186 0.3073 0.4090
Ho 0.3290 0.9999 0.5855
Ho 0.3407 0.9975 0.0902
Ho 0.6593 0.0025 0.9098
Ho 0.6710 0.0001 0.4145
Ho 0.6814 0.6927 0.5910
Ho 0.6927 0.6814 0.0910
Ho 0.9975 0.3407 0.5902
Al 0.2755 0.5770 0.7035
Al 0.4230 0.7245 0.7965
Al 0.5770 0.2755 0.2035
Al 0.7245 0.4230 0.2965

- density (g cm⁻³) = 7.24
- space-group type = C2/c (15)

***

Pick a: it beats the second-best structure by 105 meV/atom.